1.
## NaZrAgSe3 (PBE)

Data for a geometry-optimized NaZrAgSe3 structure.

Unit cell a=13.474 b=3.931 c=10.698 alpha=90.00 beta=90.00 gamma=90.00
Sites, in units of the cell vectors:
Na 0.226 0.250 0.048
Na 0.274 0.750 0.548
Na 0.726 0.250 0.452
Na 0.774 0.750 0.952
Zr 0.012 0.250 0.326
Zr 0.488 0.750 0.826
Zr 0.512 0.250 0.174
Zr 0.988 0.750 0.674
Ag 0.016 0.750 0.094
Ag 0.484 0.250 0.594
Ag 0.516 0.750 0.406
Ag 0.984 0.250 0.906
Se 0.102 0.250 0.564
Se 0.117 0.750 0.863
Se 0.147 0.750 0.272
Se 0.353 0.250 0.772
Se 0.383 0.250 0.363
Se 0.398 0.750 0.064
Se 0.602 0.250 0.936
Se 0.617 0.750 0.637
Se 0.647 0.750 0.228
Se 0.853 0.250 0.728
Se 0.883 0.250 0.137
Se 0.898 0.750 0.436

## Properties
- space group = Pnma, No. 62
- energy relative to the lowest polymorph listed for this composition (eV per atom) = 0.000
- calculated density (Mg/m³) = 5.38

---

2.
## NaZr2AgSe4 (PBE)

Data for a geometry-optimized NaZr2AgSe4 structure.

Unit cell a=7.365 b=7.365 c=7.365 alpha=128.60 beta=128.60 gamma=75.65
Sites, in units of the cell vectors:
Na 0.000 0.000 0.000
Zr 0.500 0.500 0.000
Zr 0.750 0.250 0.500
Ag 0.250 0.750 0.500
Se 0.130 0.596 0.990
Se 0.404 0.394 0.534
Se 0.606 0.140 0.010
Se 0.860 0.870 0.466

## Properties
- energy (eV/atom) = -5.1812
- space group = I-4, No. 82
- calculated density (Mg/m³) = 4.40

---

Q: Which of these has the lowest calculated density?
A: NaZr2AgSe4

---

Q: Number 1 is which compound?
A: NaZrAgSe3